(1)
A relaxed LiCe2Cd8 crystal. Source: the Alexandria database, functional GGA-PBE.

## Properties
SG: C2/m, No. 12
ρ: 7.6 g/cm³
total energy: -2.0772 eV per atom

Unit cell a=5.0361 b=6.9206 c=9.1237 alpha=120.50 beta=106.02 gamma=90.00
Last column: magnetic moment on the atom in μB.
Atoms (fractional coordinates):
Ce  0.2133  0.7718  0.4267  0.85
Ce  0.7867  0.2282  0.5733  0.85
Cd  0.8489  0.8269  0.6977  0.00
Cd  0.0117  0.2967  0.0234  0.00
Cd  0.6499  0.4280  0.2999  0.00
Cd  0.5878  0.7556  0.1757  0.00
Cd  0.1511  0.1731  0.3023  0.00
Cd  0.4122  0.2444  0.8243  0.00
Cd  0.9883  0.7033  0.9766  0.00
Cd  0.3501  0.5720  0.7001  0.00
Li  0.5000  0.0000  0.0000  0.00

***

(2)
A relaxed Mg2OsRu crystal. Source: the Alexandria database, functional GGA-PBE.

## Properties
distance to the lowest polymorph of the same formula: 1.37 eV per formula unit
SG: Cmm2, No. 35
ρ: 8.6 g/cm³
total energy: -5.5758 eV per atom

Unit cell a=2.7846 b=2.7846 c=9.3688 alpha=90.00 beta=90.00 gamma=115.14
Last column: magnetic moment on the atom in μB.
Atoms (fractional coordinates):
Mg  0.5000  0.5000  0.2689  0.00
Mg  0.0000  0.0000  0.9792  0.00
Ru  0.5000  0.5000  0.7395  0.58
Os  0.0000  0.0000  0.5124  0.30

***

How do the records compare in magnetization? In the order shown, they have 0.18 0.23 μB/atom.